# 1
Material: YIn3Os
Method: DFT, PBE
State: relaxed Values from VASP.

Geometry as Quantum ESPRESSO input:
```
&SYSTEM
  ibrav = 0, nat = 5, ntyp = 3
/
ATOMIC_SPECIES
Y 88.91 Y.upf
In 114.82 In.upf
Os 190.23 Os.upf
ATOMIC_POSITIONS angstrom
Y 0.000 0.000 0.000
In 0.000 0.000 2.855
In 0.000 2.855 0.000
In 2.855 0.000 0.000
Os 2.855 2.855 2.855
CELL_PARAMETERS angstrom
5.709 0.000 0.000
0.000 5.709 0.000
0.000 0.000 5.709
```

Computed properties:
Magnetization: 2.63 Bohr magnetons per cell
Space-group type: Pm-3m, No. 221
Distance to the lowest polymorph of the same formula: 1.614 eV/atom
Calculated formation energy: 177.5 kJ per mole of atoms
Calculated total energy: -3.34 eV/atom

***

# 2
Material: Y6InOs
Method: DFT, PBE
State: relaxed Values from VASP.

Geometry as Quantum ESPRESSO input:
```
&SYSTEM
  ibrav = 0, nat = 8, ntyp = 3
/
ATOMIC_SPECIES
Y 88.91 Y.upf
In 114.82 In.upf
Os 190.23 Os.upf
ATOMIC_POSITIONS angstrom
Y 2.597 3.007 1.647
Y 7.343 7.225 4.792
Y 6.468 5.213 1.646
Y 7.310 2.760 4.791
Y 6.435 0.748 1.645
Y 11.181 4.967 4.790
In 5.172 2.991 0.000
Os 1.717 0.996 3.218
CELL_PARAMETERS angstrom
6.895 0.000 0.000
3.448 5.981 0.000
3.435 1.992 6.437
```

Computed properties:
Magnetization: 0.00 Bohr magnetons per cell
Space-group type: P-1, No. 2
Distance to the lowest polymorph of the same formula: 0.102 eV/atom
Calculated formation energy: 0.4 kJ per mole of atoms
Calculated total energy: -6.59 eV/atom

***

# 3
Material: YInOs
Method: DFT, PBE
State: relaxed Values from VASP.

Geometry as Quantum ESPRESSO input:
```
&SYSTEM
  ibrav = 0, nat = 3, ntyp = 3
/
ATOMIC_SPECIES
Y 88.91 Y.upf
In 114.82 In.upf
Os 190.23 Os.upf
ATOMIC_POSITIONS angstrom
Y 0.000 0.000 0.000
In 1.681 1.681 1.681
Os 5.044 5.044 5.044
CELL_PARAMETERS angstrom
0.000 3.363 3.363
3.363 0.000 3.363
3.363 3.363 0.000
```

Computed properties:
Magnetization: 0.00 Bohr magnetons per cell
Space-group type: F-43m, No. 216
Calculated formation energy: 75.5 kJ per mole of atoms
Calculated total energy: -6.03 eV/atom